Below is MgCr2Ir after structural relaxation, with properties calculated at the GGA-PBE level.

Cell and atoms, written as CIF:
```
data_MgCr2Ir
_chemical_formula_sum 'Mg3 Cr6 Ir3'
_cell_length_a 2.7107
_cell_length_b 2.7107
_cell_length_c 26.8585
_cell_angle_alpha 90.00
_cell_angle_beta 90.00
_cell_angle_gamma 120.00
_symmetry_space_group_name_H-M 'R -3 m'
_symmetry_Int_Tables_number 166
_symmetry_space_group_name_Hall '-R 3 2"'
loop_
_atom_site_label
_atom_site_type_symbol
_atom_site_fract_x
_atom_site_fract_y
_atom_site_fract_z
Mg1 Mg 0.0000 0.0000 0.0000
Cr1 Cr 0.0000 0.0000 0.2442
Ir1 Ir 0.0000 0.0000 0.5000
```

## Properties
E, eV per atom: -7.105
Theoretical density, g/cm³: 9.34
DFT formation energy, eV/f.u.: 1.3
Magnetization, μB per formula unit: 0.00